#w
Computed, not measured: a relaxed structure of Ga5Ir3 at the PBE-GGA level of DFT. Values from VASP.

SG = P-4n2, No. 118

Cell and atoms, written as Quantum ESPRESSO input:
```
&SYSTEM
  ibrav = 0, nat = 32, ntyp = 2
/
ATOMIC_SPECIES
Ir 192.22 Ir.upf
Ga 69.72 Ga.upf
ATOMIC_POSITIONS angstrom
Ir 2.938 2.938 11.890
Ga 2.065 4.530 0.752
Ga 4.744 4.964 2.189
Ga 2.026 1.806 4.994
Ir 2.938 2.938 2.477
Ga 5.003 4.285 7.936
Ga 3.928 4.887 10.775
Ir 0.000 2.938 1.240
Ga 4.070 2.026 9.372
Ir 0.000 0.000 4.706
Ga 3.851 4.070 4.994
Ga 4.530 3.812 13.614
Ga 1.948 0.990 10.775
Ga 0.990 3.928 3.592
Ir 2.938 2.938 7.183
Ir 2.938 0.000 8.424
Ir 0.000 2.938 5.943
Ga 0.873 1.592 7.936
Ir 0.000 2.938 10.775
Ga 0.912 4.744 12.178
Ga 4.887 1.948 3.592
Ir 2.938 0.000 13.127
Ir 0.000 0.000 9.661
Ga 4.285 0.873 6.431
Ir 2.938 0.000 3.592
Ga 1.806 3.851 9.372
Ga 3.812 1.346 0.752
Ga 1.132 0.912 2.189
Ga 1.346 2.065 13.614
Ga 1.592 5.003 6.431
Ir 0.000 0.000 0.000
Ga 4.964 1.132 12.178
CELL_PARAMETERS angstrom
5.877 0.000 0.000
0.000 5.877 0.000
0.000 0.000 14.367
```



#x
Computed, not measured: a relaxed structure of Ga5Ir3 at the PBE-GGA level of DFT. Values from VASP.

SG = P-4n2, No. 118

Cell and atoms, written as Quantum ESPRESSO input:
```
&SYSTEM
  ibrav = 0, nat = 32, ntyp = 2
/
ATOMIC_SPECIES
Ga 69.72 Ga.upf
Ir 192.22 Ir.upf
ATOMIC_POSITIONS angstrom
Ga 4.033 1.093 3.776
Ga 1.396 2.017 14.246
Ga 1.933 4.022 9.879
Ir 2.940 0.000 8.494
Ir 2.940 0.000 14.163
Ga 3.864 1.396 0.859
Ga 0.924 1.544 8.411
Ir 2.940 2.940 12.479
Ga 4.787 4.033 11.329
Ga 4.022 3.947 5.226
Ir 2.940 2.940 7.553
Ir 0.000 2.940 3.776
Ir 0.000 2.940 0.942
Ir 2.940 2.940 2.626
Ir 0.000 2.940 6.611
Ga 1.007 1.082 2.327
Ga 1.082 4.873 12.778
Ga 4.798 1.007 12.778
Ga 1.858 1.933 5.226
Ga 2.017 4.484 0.859
Ir 2.940 0.000 11.329
Ga 1.093 1.847 11.329
Ir 0.000 0.000 0.000
Ga 4.873 4.798 2.327
Ga 4.957 4.336 8.411
Ga 1.847 4.787 3.776
Ga 4.336 0.924 6.694
Ga 3.947 1.858 9.879
Ir 0.000 0.000 4.926
Ga 4.484 3.864 14.246
Ga 1.544 4.957 6.694
Ir 0.000 0.000 10.179
CELL_PARAMETERS angstrom
5.880 0.000 0.000
0.000 5.880 0.000
0.000 0.000 15.105
```



Most stable of them? #w.



#w
Computed, not measured: a relaxed structure of GaIr15 at the PBE-GGA level of DFT. Values from VASP.

SG = P2_1/m, No. 11

Cell and atoms, written as Quantum ESPRESSO input:
```
&SYSTEM
  ibrav = 0, nat = 32, ntyp = 2
/
ATOMIC_SPECIES
Ir 192.22 Ir.upf
Ga 69.72 Ga.upf
ATOMIC_POSITIONS angstrom
Ir 4.755 2.897 2.057
Ir 2.037 2.897 7.543
Ir 3.395 0.966 28.119
Ir 0.679 0.966 25.436
Ir 2.033 2.897 32.231
Ir 3.395 0.966 6.172
Ir 3.416 0.966 8.923
Ir 4.755 2.897 4.815
Ir 3.396 0.966 0.686
Ir 4.756 2.897 32.236
Ir 4.756 2.897 7.542
Ir 0.680 0.966 6.169
Ir 0.676 0.966 3.426
Ir 4.753 2.897 34.971
Ir 0.677 0.966 30.847
Ir 0.678 0.966 33.605
Ir 0.676 0.966 28.121
Ir 4.753 2.897 10.227
Ir 3.393 0.966 33.594
Ir 3.399 0.966 3.432
Ir 2.039 2.897 2.068
Ir 2.036 2.897 4.794
Ir 2.037 2.897 29.491
Ir 4.752 2.897 29.494
Ir 0.679 0.966 0.691
Ir 2.016 2.897 26.740
Ir 0.658 0.966 8.923
Ir 4.775 2.897 26.739
Ir 2.036 2.897 34.976
Ir 3.396 0.966 30.869
Ga 3.394 0.966 25.403
Ga 2.038 2.897 10.259
CELL_PARAMETERS angstrom
5.434 0.000 0.000
0.000 3.863 0.000
-0.002 0.000 35.662
```



#x
Computed, not measured: a relaxed structure of GaIr15 at the PBE-GGA level of DFT. Values from VASP.

SG = P2_1/m, No. 11

Cell and atoms, written as Quantum ESPRESSO input:
```
&SYSTEM
  ibrav = 0, nat = 32, ntyp = 2
/
ATOMIC_SPECIES
Ir 192.22 Ir.upf
Ga 69.72 Ga.upf
ATOMIC_POSITIONS angstrom
Ir 7.015 -32.370 12.948
Ir 6.427 -40.207 15.393
Ir 8.901 -39.250 16.015
Ir 7.959 -35.815 14.484
Ir 5.762 -31.516 10.637
Ir -1.214 -6.113 -0.692
Ir 0.030 -6.942 1.607
Ir 4.535 -33.330 12.325
Ir -0.914 -3.503 0.073
Ir 6.075 -28.939 11.419
Ir 3.592 -29.900 10.795
Ir -1.505 -11.318 2.510
Ir 8.250 -30.610 11.281
Ir 0.318 -1.722 -1.602
Ir -3.388 -4.458 -0.549
Ir 6.715 -34.986 12.185
Ir 7.659 -38.425 13.718
Ir 10.133 -37.470 14.340
Ir 5.483 -36.773 13.862
Ir 1.262 -5.155 -0.070
Ir 9.191 -34.038 12.810
Ir 3.153 -12.029 2.997
Ir -2.156 -2.678 -2.223
Ir -2.446 -7.890 0.982
Ir 7.317 -27.215 9.767
Ir 0.670 -12.989 2.373
Ga 1.924 -13.840 4.684
Ga 4.821 -28.088 9.108
Ir 0.983 -10.412 3.155
Ir -0.270 -9.558 0.843
Ir -0.572 -14.714 4.025
Ir 2.210 -8.599 1.467
CELL_PARAMETERS angstrom
-4.948 -1.913 -1.244
0.934 -0.831 -2.439
10.758 -39.184 17.474
```



Most stable of them? #x.



#w
Computed, not measured: a relaxed structure of GaIr15 at the PBE-GGA level of DFT. Values from VASP.

SG = P2/c, No. 13

Cell and atoms, written as Quantum ESPRESSO input:
```
&SYSTEM
  ibrav = 0, nat = 32, ntyp = 2
/
ATOMIC_SPECIES
Ir 192.22 Ir.upf
Ga 69.72 Ga.upf
ATOMIC_POSITIONS angstrom
Ir 1.611 -5.814 23.250
Ir 2.557 -3.354 22.476
Ir -0.107 -1.218 16.114
Ir 0.399 -4.353 26.635
Ir -1.055 -3.667 16.851
Ir -0.801 -5.242 22.139
Ir 0.019 -2.001 18.742
Ir -1.435 -1.315 8.958
Ir -0.235 -0.426 13.454
Ir 1.107 -2.693 12.778
Ir 1.358 -4.249 17.999
Ir 2.306 -1.798 17.255
Ir -0.360 0.348 10.859
Ga 0.853 -1.124 7.514
Ir -0.676 -6.016 24.734
Ir 2.179 -1.015 14.625
Ir 0.145 -2.781 21.358
Ir 1.485 -5.033 20.629
Ir 2.053 -0.234 12.003
Ir -0.554 -6.769 27.263
Ir -1.181 -2.887 14.235
Ir -0.929 -4.450 19.479
Ir 2.683 -4.137 25.105
Ir 1.925 0.556 9.355
Ir 1.738 -6.603 25.899
Ir 2.432 -2.582 19.884
Ir 0.980 -1.910 10.149
Ir -1.307 -2.105 11.610
Ir -0.482 1.101 8.330
Ir 0.271 -3.563 23.983
Ir 1.231 -3.465 15.369
Ga 2.810 -4.923 27.740
CELL_PARAMETERS angstrom
-4.699 0.379 0.339
1.642 -10.168 34.123
2.021 4.121 1.131
```



#x
Computed, not measured: a relaxed structure of GaIr15 at the PBE-GGA level of DFT. Values from VASP.

SG = Pccm, No. 49

Cell and atoms, written as Quantum ESPRESSO input:
```
&SYSTEM
  ibrav = 0, nat = 64, ntyp = 2
/
ATOMIC_SPECIES
Ir 192.22 Ir.upf
Ga 69.72 Ga.upf
ATOMIC_POSITIONS angstrom
Ir 0.968 0.968 0.000
Ir 0.956 8.701 0.000
Ir 2.932 31.521 0.000
Ir 4.806 31.521 1.934
Ir 0.956 35.413 1.934
Ir 2.901 2.910 0.000
Ir 6.763 33.474 1.934
Ir 4.836 10.665 1.934
Ir 6.772 4.840 1.934
Ir 0.966 2.903 1.934
Ir 2.901 4.841 1.934
Ir 6.772 39.273 0.000
Ir 0.966 4.840 0.000
Ir 6.779 31.560 0.000
Ir 4.834 37.334 0.000
Ir 2.895 35.382 0.000
Ir 4.836 33.449 0.000
Ir 4.837 41.204 0.000
Ir 0.957 29.676 0.000
Ga 5.049 14.565 1.934
Ga 2.689 29.549 1.934
Ir 4.836 0.971 0.000
Ir 6.770 0.968 1.934
Ir 0.966 41.211 0.000
Ir 4.843 8.731 0.000
Ir 2.901 39.272 0.000
Ir 6.770 43.145 0.000
Ir 6.782 35.413 0.000
Ir 2.901 41.204 1.934
Ir 6.766 6.770 0.000
Ir 2.932 12.592 1.934
Ir 2.904 6.779 0.000
Ir 6.772 41.211 1.934
Ir 2.902 43.143 0.000
Ir 6.779 12.554 1.934
Ir 0.975 33.474 0.000
Ir 2.895 8.731 1.934
Ir 4.837 4.841 0.000
Ir 2.902 0.971 1.934
Ir 0.957 14.437 1.934
Ir 0.959 12.554 0.000
Ir 6.772 2.903 0.000
Ga 5.049 29.549 0.000
Ir 0.966 39.273 1.934
Ir 6.782 8.701 1.934
Ir 0.968 43.145 1.934
Ir 0.959 31.560 1.934
Ir 2.902 33.449 1.934
Ir 4.837 2.910 1.934
Ir 6.781 14.437 0.000
Ir 0.972 6.770 1.934
Ir 4.806 12.592 0.000
Ir 6.763 10.640 0.000
Ir 0.972 37.344 0.000
Ir 4.837 39.272 1.934
Ir 6.766 37.344 1.934
Ir 0.975 10.640 1.934
Ir 2.902 10.665 0.000
Ir 2.904 37.334 1.934
Ir 6.781 29.676 1.934
Ga 2.689 14.565 0.000
Ir 4.834 6.779 1.934
Ir 4.843 35.382 1.934
Ir 4.836 43.143 1.934
CELL_PARAMETERS angstrom
7.738 0.000 0.000
0.000 44.113 0.000
0.000 0.000 3.868
```



#y
Computed, not measured: a relaxed structure of GaIr15 at the PBE-GGA level of DFT. Values from VASP.

SG = Pmma, No. 51

Cell and atoms, written as Quantum ESPRESSO input:
```
&SYSTEM
  ibrav = 0, nat = 32, ntyp = 2
/
ATOMIC_SPECIES
Ir 192.22 Ir.upf
Ga 69.72 Ga.upf
ATOMIC_POSITIONS angstrom
Ir -24.591 -1.223 4.520
Ir -18.841 -2.828 3.085
Ir -9.683 -1.984 -0.522
Ir -20.773 -1.033 3.818
Ir -16.962 -0.843 3.117
Ir -28.404 -1.412 5.220
Ir -13.473 -2.173 0.175
Ir -36.304 -3.308 4.371
Ir -30.296 -3.398 5.191
Ir -30.679 -1.137 3.714
Ir -19.231 -0.568 1.610
Ir -32.578 -3.123 3.686
Ir -26.856 -0.947 3.012
Ir -34.469 -1.325 4.411
Ga -7.290 -2.254 0.962
Ir -26.471 -3.208 4.488
Ir -23.039 -0.757 2.310
Ir -7.848 -0.002 -0.482
Ir -28.740 -2.932 2.981
Ir -11.574 -0.187 0.203
Ir -24.922 -2.742 2.279
Ir -15.413 -0.378 0.909
Ir -34.086 -3.586 5.887
Ir -11.214 -2.449 1.684
Ir -13.137 -0.653 2.414
Ir -21.113 -2.553 1.579
Ir -17.296 -2.363 0.877
Ir -15.029 -2.639 2.385
Ir -22.660 -3.018 3.787
Ir -9.346 -0.465 1.718
Ir -32.219 -1.602 5.921
Ga -36.143 -1.797 6.643
CELL_PARAMETERS angstrom
-0.720 0.741 -3.716
0.048 -3.781 -0.764
-43.457 -2.161 7.987
```



Most stable of them? #y.



#w
Computed, not measured: a relaxed structure of GaIr17 at the PBE-GGA level of DFT. Values from VASP.

SG = P2_1/m, No. 11

Cell and atoms, written as Quantum ESPRESSO input:
```
&SYSTEM
  ibrav = 0, nat = 36, ntyp = 2
/
ATOMIC_SPECIES
Ir 192.22 Ir.upf
Ga 69.72 Ga.upf
ATOMIC_POSITIONS angstrom
Ir -0.853 -5.216 -0.590
Ir 1.012 -0.846 -0.334
Ir -0.492 -3.420 -3.990
Ir -14.214 -22.445 1.944
Ir -16.313 -23.369 3.452
Ir -2.588 -4.352 -2.486
Ir -17.873 -28.538 0.606
Ir -14.180 -19.849 1.117
Ir -2.646 -6.939 -1.673
Ir -2.352 -7.780 -4.239
Ir -12.440 -20.705 3.034
Ga -4.873 -8.060 -0.142
Ir -18.040 -22.491 1.531
Ir -2.392 -10.351 -3.430
Ir 1.312 -1.661 -2.910
Ir -0.792 -2.603 -1.413
Ir -14.508 -21.603 4.510
Ir -14.273 -25.031 2.758
Ir -16.068 -26.780 1.685
Ir -0.723 0.018 -2.240
Ir -4.666 -5.273 -1.007
Ir -16.368 -25.963 4.262
Ir 1.540 -5.096 -4.660
Ir -4.420 -8.679 -2.762
Ir -2.956 -6.149 0.895
Ir 1.255 -4.264 -2.090
Ir -16.007 -24.168 0.862
Ir -0.547 -6.014 -3.180
Ga -11.987 -21.323 0.414
Ir 1.180 -6.892 -1.259
Ir -18.401 -24.287 4.932
Ir -12.194 -24.111 1.279
Ir -2.681 -9.534 -0.845
Ir -13.904 -23.234 -0.623
Ir -18.116 -25.119 2.362
Ir -14.468 -19.032 3.702
CELL_PARAMETERS angstrom
-1.446 0.035 -4.479
4.070 -3.356 -1.340
-19.485 -26.062 6.092
```



#x
Computed, not measured: a relaxed structure of GaIr17 at the PBE-GGA level of DFT. Values from VASP.

SG = P-3m1, No. 164

Cell and atoms, written as Quantum ESPRESSO input:
```
&SYSTEM
  ibrav = 0, nat = 36, ntyp = 2
/
ATOMIC_SPECIES
Ir 192.22 Ir.upf
Ga 69.72 Ga.upf
ATOMIC_POSITIONS angstrom
Ir -11.137 12.263 16.968
Ir -5.970 4.977 6.571
Ir -8.835 12.191 11.316
Ir -11.057 12.335 9.754
Ir -8.731 11.323 8.720
Ir -6.088 6.775 4.542
Ir -6.507 11.178 10.283
Ga -5.785 3.969 3.852
Ir -9.159 15.735 14.476
Ir -3.854 6.622 6.091
Ir -8.288 5.980 7.598
Ir -6.185 7.638 7.127
Ga -11.440 15.069 17.658
Ir -6.286 8.504 9.724
Ir -13.680 16.839 13.889
Ir -8.186 5.121 5.013
Ir -6.168 6.702 11.757
Ir -8.819 11.256 15.946
Ir -3.545 2.198 7.622
Ir -13.562 15.029 15.932
Ir -5.777 2.343 6.052
Ir -8.937 13.057 13.912
Ir -8.511 8.653 8.162
Ir -11.152 13.190 12.336
Ir -3.663 4.008 5.579
Ir -8.406 7.782 5.565
Ir -9.038 13.917 16.498
Ir -8.714 10.384 13.349
Ir -11.040 11.400 14.384
Ir -8.613 9.519 10.755
Ir -6.389 9.374 12.319
Ir -11.255 14.060 14.940
Ir -10.939 10.533 11.787
Ir -11.448 16.695 15.458
Ir -6.073 5.847 9.175
Ir -8.390 6.846 10.195
CELL_PARAMETERS angstrom
-4.448 0.288 -3.128
0.236 -3.608 4.071
-13.013 22.357 20.567
```



Most stable of them? #w.



#w
Computed, not measured: a relaxed structure of LaGaSiIr2 at the PBE-GGA level of DFT. Values from VASP.

SG = P4/nmm, No. 129

Cell and atoms, written as Quantum ESPRESSO input:
```
&SYSTEM
  ibrav = 0, nat = 10, ntyp = 4
/
ATOMIC_SPECIES
Ga 69.72 Ga.upf
La 138.91 La.upf
Ir 192.22 Ir.upf
Si 28.09 Si.upf
ATOMIC_POSITIONS angstrom
Ga 0.000 0.000 5.221
La 0.000 2.098 2.617
Ga 2.098 2.098 5.221
Ir 0.000 2.098 6.751
Ir 2.098 2.098 0.000
Si 2.098 0.000 1.272
Si 0.000 2.098 9.170
Ir 2.098 0.000 3.692
La 2.098 0.000 7.825
Ir 0.000 0.000 0.000
CELL_PARAMETERS angstrom
4.196 0.000 0.000
0.000 4.196 0.000
0.000 0.000 10.442
```



#x
Computed, not measured: a relaxed structure of LaGaSiIr2 at the PBE-GGA level of DFT. Values from VASP.

SG = I4mm, No. 107

Cell and atoms, written as Quantum ESPRESSO input:
```
&SYSTEM
  ibrav = 0, nat = 5, ntyp = 4
/
ATOMIC_SPECIES
La 138.91 La.upf
Ir 192.22 Ir.upf
Ga 69.72 Ga.upf
Si 28.09 Si.upf
ATOMIC_POSITIONS angstrom
La 0.003 0.000 0.007
Ir 1.859 -1.829 1.996
Ga 1.828 0.234 3.460
Ir -0.559 -0.559 3.188
Si 3.058 0.392 5.788
CELL_PARAMETERS angstrom
4.831 -0.960 3.376
-0.005 1.579 5.759
-3.463 -2.999 -3.831
```



Most stable of them? #w.